1.
Li2Cd2SnAu5 | PBE | optimized geometry

Unit cell a=10.317 b=10.317 c=3.651 alpha=90.00 beta=90.00 gamma=90.00
Sites, in units of the cell vectors:
Li  0.135  0.365  0.000
Li  0.365  0.865  0.000
Li  0.635  0.135  0.000
Li  0.865  0.635  0.000
Cd  0.152  0.652  0.000
Cd  0.348  0.152  0.000
Cd  0.652  0.848  0.000
Cd  0.848  0.348  0.000
Sn  0.000  0.000  0.000
Sn  0.500  0.500  0.000
Au  0.000  0.500  0.500
Au  0.131  0.173  0.500
Au  0.173  0.869  0.500
Au  0.327  0.369  0.500
Au  0.369  0.673  0.500
Au  0.500  0.000  0.500
Au  0.631  0.327  0.500
Au  0.673  0.631  0.500
Au  0.827  0.131  0.500
Au  0.869  0.827  0.500

Results
DOS at the Fermi energy   0.2270 states/eV/atom
M_tot   0.0 μB per formula unit
E_form   -246.0 meV per atom

2.
SrLiCdAu | PBE | optimized geometry

Unit cell a=5.144 b=5.144 c=5.144 alpha=60.00 beta=60.00 gamma=60.00
Sites, in units of the cell vectors:
Sr  0.000  0.000  0.000
Li  0.250  0.250  0.250
Cd  0.500  0.500  0.500
Au  0.750  0.750  0.750

Results
DOS at the Fermi energy   0.6563 states/eV/atom
M_tot   0.0 μB per formula unit
E_form   -376.2 meV per atom
Polymorph energy (0 for the lowest one)   97 meV/atom

3.
SrLi2CdAu2 | PBE | optimized geometry

Unit cell a=4.598 b=4.598 c=7.188 alpha=90.00 beta=90.00 gamma=120.00
Sites, in units of the cell vectors:
Sr  0.000  0.000  0.000
Li  0.333  0.667  0.661
Li  0.667  0.333  0.339
Cd  0.000  0.000  0.500
Au  0.333  0.667  0.282
Au  0.667  0.333  0.718

Results
DOS at the Fermi energy   0.3807 states/eV/atom
M_tot   0.0 μB per formula unit
E_form   -540.1 meV per atom

4.
SrLiCd2Au2 | PBE | optimized geometry

Unit cell a=4.795 b=4.795 c=7.175 alpha=90.00 beta=90.00 gamma=120.00
Sites, in units of the cell vectors:
Sr  0.000  0.000  0.000
Li  0.000  0.000  0.500
Cd  0.333  0.667  0.323
Cd  0.667  0.333  0.677
Au  0.333  0.667  0.729
Au  0.667  0.333  0.271

Results
DOS at the Fermi energy   0.4086 states/eV/atom
M_tot   0.0 μB per formula unit
E_form   -491.2 meV per atom

5.
Sr2LiCdAu6 | PBE | optimized geometry

Unit cell a=5.518 b=7.195 c=7.275 alpha=82.64 beta=67.80 gamma=67.48
Sites, in units of the cell vectors:
Sr  0.045  0.205  0.205
Sr  0.955  0.795  0.795
Li  0.500  0.000  0.500
Cd  0.500  0.500  0.000
Au  0.012  0.237  0.738
Au  0.352  0.396  0.403
Au  0.490  0.763  0.261
Au  0.510  0.237  0.739
Au  0.648  0.604  0.597
Au  0.988  0.763  0.262

Results
DOS at the Fermi energy   0.3155 states/eV/atom
M_tot   0.0 μB per formula unit
E_form   -491.4 meV per atom

6.
Sr2Li2CdAu5 | PBE | optimized geometry

Unit cell a=10.455 b=10.455 c=3.903 alpha=90.00 beta=90.00 gamma=90.00
Sites, in units of the cell vectors:
Sr  0.183  0.317  0.000
Sr  0.317  0.817  0.000
Sr  0.683  0.183  0.000
Sr  0.817  0.683  0.000
Li  0.118  0.618  0.000
Li  0.382  0.118  0.000
Li  0.618  0.882  0.000
Li  0.882  0.382  0.000
Cd  0.000  0.000  0.000
Cd  0.500  0.500  0.000
Au  0.000  0.500  0.500
Au  0.055  0.790  0.500
Au  0.210  0.055  0.500
Au  0.290  0.555  0.500
Au  0.445  0.290  0.500
Au  0.500  0.000  0.500
Au  0.555  0.710  0.500
Au  0.710  0.445  0.500
Au  0.790  0.945  0.500
Au  0.945  0.210  0.500

Results
DOS at the Fermi energy   0.3550 states/eV/atom
M_tot   0.0 μB per formula unit
E_form   -527.3 meV per atom

7.
SrLiCd3Au | PBE | optimized geometry

Unit cell a=7.667 b=7.667 c=6.190 alpha=90.00 beta=90.00 gamma=127.06
Sites, in units of the cell vectors:
Sr  0.213  0.787  0.750
Sr  0.787  0.213  0.250
Li  0.434  0.566  0.750
Li  0.566  0.434  0.250
Cd  0.211  0.211  0.000
Cd  0.211  0.211  0.500
Cd  0.361  0.639  0.250
Cd  0.639  0.361  0.750
Cd  0.789  0.789  0.000
Cd  0.789  0.789  0.500
Au  0.155  0.845  0.250
Au  0.845  0.155  0.750

Results
DOS at the Fermi energy   0.5019 states/eV/atom
M_tot   0.0 μB per formula unit
E_form   -275.5 meV per atom

8.
SrLi2CdAu | PBE | optimized geometry

Unit cell a=5.007 b=5.007 c=5.349 alpha=90.00 beta=90.00 gamma=90.00
Sites, in units of the cell vectors:
Sr  0.000  0.000  0.000
Li  0.000  0.500  0.500
Li  0.500  0.000  0.500
Cd  0.500  0.500  0.000
Au  0.500  0.500  0.500

Results
DOS at the Fermi energy   0.4022 states/eV/atom
M_tot   0.0 μB per formula unit
E_form   -254.1 meV per atom

9.
SrLi2CdAu5 | PBE | optimized geometry

Unit cell a=4.864 b=4.864 c=7.628 alpha=90.00 beta=90.00 gamma=90.00
Sites, in units of the cell vectors:
Sr  0.000  0.000  0.000
Li  0.500  0.500  0.342
Li  0.500  0.500  0.658
Cd  0.000  0.000  0.500
Au  0.000  0.500  0.280
Au  0.000  0.500  0.720
Au  0.500  0.000  0.280
Au  0.500  0.000  0.720
Au  0.500  0.500  0.000

Results
DOS at the Fermi energy   0.2202 states/eV/atom
M_tot   0.0 μB per formula unit
E_form   -362.6 meV per atom

10.
Sr2LiCd6Au | PBE | optimized geometry

Unit cell a=7.320 b=7.320 c=7.320 alpha=121.89 beta=118.59 gamma=89.61
Sites, in units of the cell vectors:
Sr  0.207  0.207  0.000
Sr  0.793  0.793  0.000
Li  0.500  0.000  0.500
Cd  0.262  0.762  0.500
Cd  0.299  0.282  0.581
Cd  0.299  0.718  0.018
Cd  0.701  0.282  0.982
Cd  0.701  0.718  0.419
Cd  0.738  0.238  0.500
Au  0.000  0.500  0.500

Results
DOS at the Fermi energy   0.5505 states/eV/atom
M_tot   0.0 μB per formula unit
E_form   -185.5 meV per atom

11.
Sr2Li3Cd12Au | PBE | optimized geometry

Unit cell a=8.875 b=8.875 c=8.875 alpha=64.43 beta=64.43 gamma=64.43
Sites, in units of the cell vectors:
Sr  0.096  0.096  0.096
Sr  0.904  0.904  0.904
Li  0.000  0.500  0.500
Li  0.500  0.000  0.500
Li  0.500  0.500  0.000
Cd  0.142  0.635  0.635
Cd  0.145  0.145  0.513
Cd  0.145  0.513  0.145
Cd  0.365  0.365  0.858
Cd  0.365  0.858  0.365
Cd  0.487  0.855  0.855
Cd  0.513  0.145  0.145
Cd  0.635  0.142  0.635
Cd  0.635  0.635  0.142
Cd  0.855  0.487  0.855
Cd  0.855  0.855  0.487
Cd  0.858  0.365  0.365
Au  0.500  0.500  0.500

Results
DOS at the Fermi energy   0.4393 states/eV/atom
M_tot   0.0 μB per formula unit
E_form   40.5 meV per atom

12.
SrLiCdAu3 | PBE | optimized geometry

Unit cell a=7.232 b=7.232 c=6.647 alpha=90.00 beta=90.00 gamma=127.95
Sites, in units of the cell vectors:
Sr  0.189  0.811  0.750
Sr  0.811  0.189  0.250
Li  0.433  0.567  0.750
Li  0.567  0.433  0.250
Cd  0.144  0.856  0.250
Cd  0.856  0.144  0.750
Au  0.230  0.230  0.000
Au  0.230  0.230  0.500
Au  0.357  0.643  0.250
Au  0.643  0.357  0.750
Au  0.770  0.770  0.000
Au  0.770  0.770  0.500

Results
DOS at the Fermi energy   0.3838 states/eV/atom
M_tot   0.0 μB per formula unit
E_form   -408.1 meV per atom

13.
SrLiCdAu | PBE | optimized geometry

Unit cell a=6.043 b=6.043 c=6.043 alpha=46.11 beta=46.11 gamma=46.11
Sites, in units of the cell vectors:
Sr  0.000  0.000  0.000
Li  0.516  0.516  0.516
Cd  0.797  0.797  0.797
Au  0.202  0.202  0.202

Results
DOS at the Fermi energy   0.5726 states/eV/atom
M_tot   0.0 μB per formula unit
E_form   -473.0 meV per atom
Polymorph energy (0 for the lowest one)   0 meV/atom

14.
LiThCd2Au4 | PBE | optimized geometry

Unit cell a=8.748 b=8.748 c=8.748 alpha=31.86 beta=31.86 gamma=31.86
Sites, in units of the cell vectors:
Li  0.000  0.000  0.000
Th  0.500  0.500  0.500
Cd  0.257  0.257  0.257
Cd  0.743  0.743  0.743
Au  0.111  0.111  0.111
Au  0.373  0.373  0.373
Au  0.627  0.627  0.627
Au  0.889  0.889  0.889

Results
DOS at the Fermi energy   0.4277 states/eV/atom
M_tot   0.0 μB per formula unit
E_form   -471.1 meV per atom

15.
LiThCdAu | PBE | optimized geometry

Unit cell a=4.975 b=4.975 c=4.975 alpha=60.00 beta=60.00 gamma=60.00
Sites, in units of the cell vectors:
Li  0.000  0.000  0.000
Th  0.250  0.250  0.250
Cd  0.750  0.750  0.750
Au  0.500  0.500  0.500

Results
DOS at the Fermi energy   0.1883 states/eV/atom
M_tot   0.0 μB per formula unit
E_form   -375.0 meV per atom

16.
Li2ThCdAu2 | PBE | optimized geometry

Unit cell a=4.528 b=4.528 c=6.859 alpha=90.00 beta=90.00 gamma=120.00
Sites, in units of the cell vectors:
Li  0.333  0.667  0.149
Li  0.667  0.333  0.851
Th  0.000  0.000  0.500
Cd  0.000  0.000  0.000
Au  0.333  0.667  0.748
Au  0.667  0.333  0.252

Results
DOS at the Fermi energy   0.9322 states/eV/atom
M_tot   0.0 μB per formula unit
E_form   -482.2 meV per atom

17.
LiTiCdAu | PBE | optimized geometry

Unit cell a=4.589 b=4.589 c=4.589 alpha=60.00 beta=60.00 gamma=60.00
Sites, in units of the cell vectors:
Li  0.000  0.000  0.000
Ti  0.500  0.500  0.500
Cd  0.750  0.750  0.750
Au  0.250  0.250  0.250

Results
DOS at the Fermi energy   0.7806 states/eV/atom
M_tot   0.0 μB per formula unit
E_form   -243.5 meV per atom

18.
Li5TlCd2Au2 | PBE | optimized geometry

Unit cell a=9.799 b=9.799 c=3.967 alpha=90.00 beta=90.00 gamma=90.00
Sites, in units of the cell vectors:
Li  0.000  0.500  0.000
Li  0.079  0.203  0.000
Li  0.203  0.921  0.000
Li  0.297  0.421  0.000
Li  0.421  0.703  0.000
Li  0.500  0.000  0.000
Li  0.579  0.297  0.000
Li  0.703  0.579  0.000
Li  0.797  0.079  0.000
Li  0.921  0.797  0.000
Tl  0.000  0.000  0.500
Tl  0.500  0.500  0.500
Cd  0.169  0.669  0.500
Cd  0.331  0.169  0.500
Cd  0.669  0.831  0.500
Cd  0.831  0.331  0.500
Au  0.127  0.373  0.500
Au  0.373  0.873  0.500
Au  0.627  0.127  0.500
Au  0.873  0.627  0.500

Results
DOS at the Fermi energy   0.2860 states/eV/atom
M_tot   0.0 μB per formula unit
E_form   -318.9 meV per atom

19.
LiTlCd2Au | PBE | optimized geometry

Unit cell a=5.324 b=5.324 c=4.895 alpha=90.00 beta=90.00 gamma=90.00
Sites, in units of the cell vectors:
Li  0.000  0.000  0.000
Tl  0.500  0.500  0.000
Cd  0.000  0.500  0.500
Cd  0.500  0.000  0.500
Au  0.000  0.000  0.500

Results
DOS at the Fermi energy   0.5012 states/eV/atom
M_tot   0.0 μB per formula unit
E_form   -51.0 meV per atom

20.
LiTmCd2Au4 | PBE | optimized geometry

Unit cell a=8.311 b=8.311 c=8.311 alpha=33.49 beta=33.49 gamma=33.49
Sites, in units of the cell vectors:
Li  0.000  0.000  0.000
Tm  0.500  0.500  0.500
Cd  0.252  0.252  0.252
Cd  0.748  0.748  0.748
Au  0.120  0.120  0.120
Au  0.373  0.373  0.373
Au  0.627  0.627  0.627
Au  0.880  0.880  0.880

Results
DOS at the Fermi energy   0.3896 states/eV/atom
M_tot   0.0 μB per formula unit
E_form   -510.7 meV per atom

21.
Li2CdWAu | PBE | optimized geometry

Unit cell a=5.057 b=5.057 c=4.984 alpha=90.00 beta=90.00 gamma=90.00
Sites, in units of the cell vectors:
Li  0.000  0.500  0.000
Li  0.500  0.000  0.000
Cd  0.000  0.000  0.500
W  0.500  0.500  0.000
Au  0.500  0.500  0.500

Results
DOS at the Fermi energy   0.7119 states/eV/atom
M_tot   2.2 μB per formula unit
E_form   1198.4 meV per atom

22.
Li2YCdAu4 | PBE | optimized geometry

Unit cell a=8.994 b=8.994 c=8.994 alpha=29.51 beta=29.51 gamma=29.51
Sites, in units of the cell vectors:
Li  0.239  0.239  0.239
Li  0.761  0.761  0.761
Y  0.000  0.000  0.000
Cd  0.500  0.500  0.500
Au  0.118  0.118  0.118
Au  0.390  0.390  0.390
Au  0.610  0.610  0.610
Au  0.882  0.882  0.882

Results
DOS at the Fermi energy   0.3450 states/eV/atom
M_tot   0.0 μB per formula unit
E_form   -545.0 meV per atom

23.
LiYCdAu | PBE | optimized geometry

Unit cell a=4.882 b=4.882 c=4.882 alpha=60.00 beta=60.00 gamma=60.00
Sites, in units of the cell vectors:
Li  0.000  0.000  0.000
Y  0.250  0.250  0.250
Cd  0.750  0.750  0.750
Au  0.500  0.500  0.500

Results
DOS at the Fermi energy   1.3905 states/eV/atom
M_tot   0.0 μB per formula unit
E_form   -491.9 meV per atom